Entry 1:
PBE AlRu, relaxed; symmetry = P-3m1 (164); DOS at the Fermi energy = 0.61 states/eV/atom
1.0
2.811 0.000 0.000
-1.405 2.434 0.000
0.000 0.000 8.489
Al Ru
2 2
Cartesian
0.000 1.623 1.183
1.405 0.811 7.306
0.000 1.623 5.296
1.405 0.811 3.193

=====

Entry 2:
PBE LiNbZn3, relaxed; symmetry = Pm-3m (221); relative energy among the computed polymorphs = 0.000 eV/atom; DOS at the Fermi energy = 0.21 states/eV/atom
1.0
4.202 0.000 0.000
0.000 4.202 0.000
0.000 0.000 4.202
Li Nb Zn
1 1 3
Cartesian
0.000 0.000 0.000
2.101 2.101 2.101
0.000 0.000 2.101
0.000 2.101 0.000
2.101 0.000 0.000

=====

| no. | energy relative to the elements (eV per formula unit) |
| --- | --- |
| 1 | -0.3 |
| 2 | 1.8 |